Entry 1:
Material: TlNi4P2
Method: DFT, GGA-PBE
State: relaxed

Summary:
crystal system = tetragonal
uncorrected energy = -5.24 eV/atom
M_tot = 0.0021 μB per atom

abc: 7.1972 7.1972 3.6012
angles: 90.00 90.00 90.00
Fractional coordinates of all 14 atoms:
Tl1 0.0000 0.0000 0.0000
Ni1 0.1697 0.4251 0.0000
P1 0.7338 0.2662 0.0000
P2 0.7662 0.7662 0.5000
P3 0.2338 0.2338 0.5000
Ni2 0.3303 0.9251 0.5000
Ni3 0.5749 0.8303 0.0000
Ni4 0.8303 0.5749 0.0000
Ni5 0.6697 0.0749 0.5000
Ni6 0.4251 0.1697 0.0000
Tl2 0.5000 0.5000 0.5000
P4 0.2662 0.7338 0.0000
Ni7 0.0749 0.6697 0.5000
Ni8 0.9251 0.3303 0.5000

Entry 2:
Material: ThTlAgTe3
Method: DFT, GGA-PBE
State: relaxed

Summary:
crystal system = orthorhombic
uncorrected energy = -4.44 eV/atom
M_tot = 0.0000 μB per atom

abc: 7.9825 7.9825 11.6199
angles: 90.00 90.00 147.29
Fractional coordinates of all 12 atoms:
Te1 0.5806 0.4194 0.2500
Th1 0.5000 0.5000 0.0000
Tl1 0.7413 0.2587 0.7500
Ag1 0.0345 0.9655 0.7500
Te2 0.4194 0.5806 0.7500
Th2 0.5000 0.5000 0.5000
Tl2 0.2587 0.7413 0.2500
Ag2 0.9655 0.0345 0.2500
Te3 0.8603 0.1397 0.4488
Te4 0.1397 0.8603 0.9488
Te5 0.1397 0.8603 0.5512
Te6 0.8603 0.1397 0.0512

Entry 3:
Material: SmDyIr2C2N2
Method: DFT, GGA-PBE
State: relaxed

Summary:
crystal system = tetragonal
uncorrected energy = -8.27 eV/atom
M_tot = 0.0006 μB per atom

abc: 3.7431 3.7431 7.3689
angles: 90.00 90.00 90.00
Fractional coordinates of all 8 atoms:
Dy1 0.0000 0.0000 0.8326
C1 0.5000 0.5000 0.6573
Ir1 0.0000 0.5000 0.5030
N1 0.0000 0.0000 0.1504
N2 0.5000 0.5000 0.8463
Ir2 0.5000 0.0000 0.5030
Sm1 0.5000 0.5000 0.1683
C2 0.0000 0.0000 0.3391

Entry 4:
Material: CsYTe3Pt
Method: DFT, GGA-PBE
State: relaxed

Summary:
crystal system = monoclinic
polymorph energy (0 for the lowest one) = 0.000 eV/atom
M_tot = 0.0000 μB per atom

abc: 9.6189 4.6357 10.5623
angles: 90.00 115.09 90.00
Fractional coordinates of all 12 atoms:
Cs1 0.0301 0.2500 0.2844
Te1 0.6297 0.2500 0.4795
Y1 0.5691 0.7500 0.8670
Pt1 0.4958 0.2500 0.6552
Te2 0.6768 0.7500 0.1931
Pt2 0.5042 0.7500 0.3448
Y2 0.4309 0.2500 0.1330
Te3 0.3232 0.2500 0.8069
Te4 0.2160 0.7500 0.1106
Cs2 0.9699 0.7500 0.7156
Te5 0.7840 0.2500 0.8894
Te6 0.3703 0.7500 0.5205

Entry 5:
Material: CdHgAsO
Method: DFT, GGA-PBE
State: relaxed

Summary:
crystal system = tetragonal
polymorph energy (0 for the lowest one) = 0.112 eV/atom

abc: 4.2646 4.2646 8.9971
angles: 90.00 90.00 90.00
Fractional coordinates of all 8 atoms:
As1 0.7500 0.7500 0.2967
Hg1 0.7500 0.2500 0.5000
Cd1 0.7500 0.7500 0.9230
Cd2 0.2500 0.2500 0.0770
O1 0.7500 0.2500 0.0000
O2 0.2500 0.7500 0.0000
Hg2 0.2500 0.7500 0.5000
As2 0.2500 0.2500 0.7033

Entry 6:
Material: AgB
Method: DFT, GGA-PBE
State: relaxed

Summary:
crystal system = cubic
polymorph energy (0 for the lowest one) = 0.119 eV/atom

abc: 3.3524 3.3524 3.3524
angles: 60.00 60.00 60.00
Fractional coordinates of all 2 atoms:
Ag1 0.0000 0.0000 0.0000
B1 0.5000 0.5000 0.5000

Entry 7:
Material: GaReB4
Method: DFT, GGA-PBE
State: relaxed

Summary:
crystal system = hexagonal
polymorph energy (0 for the lowest one) = 0.018 eV/atom
M_tot = 0.0004 μB per atom

abc: 2.9987 2.9987 7.2525
angles: 90.00 90.00 120.00
Fractional coordinates of all 6 atoms:
Ga1 0.0000 0.0000 0.5000
B1 0.3333 0.6667 0.7655
B2 0.6667 0.3333 0.2345
B3 0.6667 0.3333 0.7655
B4 0.3333 0.6667 0.2345
Re1 0.0000 0.0000 0.0000

Entry 8:
Material: Y5Tm2Ni2Te2
Method: DFT, GGA-PBE
State: relaxed

Summary:
crystal system = orthorhombic
polymorph energy (0 for the lowest one) = 0.011 eV/atom
M_tot = 0.0011 μB per atom

abc: 9.3572 9.3572 9.3572
angles: 156.19 66.79 118.63
Fractional coordinates of all 11 atoms:
Tm1 0.5276 0.8945 0.6331
Y1 0.5990 0.7453 0.8537
Tm2 0.2614 0.8945 0.3669
Y2 0.2831 0.0985 0.1846
Y3 0.9778 0.4778 0.5000
Y4 0.9139 0.0985 0.8154
Ni1 0.1452 0.4046 0.7406
Te1 0.2442 0.2442 0.0000
Y5 0.8916 0.7453 0.1463
Ni2 0.6641 0.4046 0.2594
Te2 0.6381 0.1381 0.5000

Entry 9:
Material: UPaBi
Method: DFT, GGA-PBE
State: relaxed

Summary:
crystal system = cubic
polymorph energy (0 for the lowest one) = 0.000 eV/atom
M_tot = 2.3273 μB per atom

abc: 5.1061 5.1061 5.1061
angles: 60.00 60.00 60.00
Fractional coordinates of all 3 atoms:
U1 0.2500 0.2500 0.2500
Bi1 0.0000 0.0000 0.0000
Pa1 0.5000 0.5000 0.5000

Entry 10:
Material: NbCuAs2
Method: DFT, GGA-PBE
State: relaxed

Summary:
crystal system = cubic
uncorrected energy = -5.45 eV/atom
M_tot = 0.0002 μB per atom

abc: 4.5448 4.5448 4.5448
angles: 60.00 60.00 60.00
Fractional coordinates of all 4 atoms:
As1 0.7500 0.7500 0.7500
Nb1 0.5000 0.5000 0.5000
As2 0.0000 0.0000 0.0000
Cu1 0.2500 0.2500 0.2500

Entry 11:
Material: GdAgTeSe
Method: DFT, GGA-PBE
State: relaxed

Summary:
crystal system = orthorhombic
polymorph energy (0 for the lowest one) = 0.003 eV/atom
M_tot = 0.0003 μB per atom

abc: 7.0015 7.0015 4.5127
angles: 90.00 90.00 94.71
Fractional coordinates of all 8 atoms:
Te1 0.2934 0.7066 0.6991
Ag1 0.5000 0.0000 0.0299
Ag2 0.0000 0.5000 0.0299
Se1 0.7997 0.7997 0.2767
Gd1 0.5000 0.5000 0.1873
Te2 0.7066 0.2934 0.6991
Gd2 0.0000 0.0000 0.8013
Se2 0.2003 0.2003 0.2767

Entry 12:
Material: TmSiHO4
Method: DFT, GGA-PBE
State: relaxed

Summary:
crystal system = monoclinic
polymorph energy (0 for the lowest one) = 0.024 eV/atom
M_tot = 0.0000 μB per atom

abc: 9.1324 6.1996 6.7668
angles: 90.00 130.56 90.00
Fractional coordinates of all 28 atoms:
O1 0.7611 0.0570 0.0737
H1 0.5993 0.8711 0.4362
O2 0.2819 0.9765 0.5930
O3 0.7181 0.4765 0.9070
H2 0.4007 0.1289 0.5638
O4 0.7611 0.4430 0.5737
O5 0.9241 0.7044 0.4064
Si1 0.2487 0.1220 0.7612
Tm1 0.2234 0.6380 0.7267
O6 0.0759 0.2956 0.5936
H3 0.4007 0.3711 0.0638
O7 0.4369 0.2933 0.9664
Si2 0.7513 0.6220 0.7388
O8 0.5631 0.7933 0.5336
O9 0.4369 0.2067 0.4664
Tm2 0.7766 0.3620 0.2733
O10 0.2819 0.5235 0.0930
Tm3 0.7766 0.1380 0.7733
Si3 0.2487 0.3780 0.2612
H4 0.5993 0.6289 0.9362
O11 0.2389 0.5570 0.4263
O12 0.0759 0.2044 0.0936
Tm4 0.2234 0.8620 0.2267
O13 0.2389 0.9430 0.9263
O14 0.9241 0.7956 0.9064
O15 0.5631 0.7067 0.0336
Si4 0.7513 0.8780 0.2388
O16 0.7181 0.0235 0.4070

Entry 13:
Material: LiPmW
Method: DFT, GGA-PBE
State: relaxed

Summary:
crystal system = cubic
polymorph energy (0 for the lowest one) = 0.000 eV/atom
M_tot = 0.0346 μB per atom

abc: 4.4815 4.4815 4.4815
angles: 60.00 60.00 60.00
Fractional coordinates of all 3 atoms:
Li1 0.0000 0.0000 0.0000
Pm1 0.2500 0.2500 0.2500
W1 0.7500 0.7500 0.7500

Entry 14:
Material: NdSm2Al2Cu4
Method: DFT, GGA-PBE
State: relaxed

Summary:
crystal system = monoclinic
uncorrected energy = -4.39 eV/atom
M_tot = 0.0030 μB per atom

abc: 5.5625 5.5625 8.4384
angles: 97.84 97.84 44.80
Fractional coordinates of all 9 atoms:
Cu1 0.2709 0.2709 0.9227
Al1 0.3195 0.3195 0.2245
Sm1 0.6259 0.6259 0.3790
Nd1 0.0000 0.0000 0.0000
Cu2 0.7291 0.7291 0.0773
Cu3 0.9178 0.9178 0.3621
Cu4 0.0822 0.0822 0.6379
Al2 0.6805 0.6805 0.7755
Sm2 0.3741 0.3741 0.6210

Entry 15:
Material: AlZnPO
Method: DFT, GGA-PBE
State: relaxed

Summary:
crystal system = orthorhombic
polymorph energy (0 for the lowest one) = 0.000 eV/atom

abc: 3.7607 6.0033 5.5556
angles: 90.00 90.00 90.00
Fractional coordinates of all 8 atoms:
Al1 0.5000 0.1282 0.5339
O1 0.5000 0.8673 0.3627
P1 0.0000 0.6926 0.8881
Zn1 0.0000 0.3112 0.9694
P2 0.0000 0.3074 0.3881
Al2 0.5000 0.8718 0.0339
O2 0.5000 0.1327 0.8627
Zn2 0.0000 0.6888 0.4694

Entry 16:
Material: DyAl3B4O12
Method: DFT, GGA-PBE
State: relaxed

Summary:
crystal system = trigonal
uncorrected energy = -7.93 eV/atom
M_tot = 0.0000 μB per atom

abc: 5.8768 5.8768 5.8768
angles: 104.52 104.52 104.52
Fractional coordinates of all 20 atoms:
O1 0.7788 0.0292 0.6290
O2 0.5000 0.3511 0.6489
O3 0.0292 0.6290 0.7788
B1 0.9427 0.0573 0.5000
Al1 0.0000 0.5560 0.4440
O4 0.9708 0.2212 0.3710
O5 0.5000 0.0912 0.9088
Dy1 0.0000 0.0000 0.0000
Al2 0.4440 0.0000 0.5560
O6 0.6489 0.5000 0.3511
B2 0.0573 0.5000 0.9427
O7 0.2212 0.3710 0.9708
Al3 0.5560 0.4440 0.0000
O8 0.9088 0.5000 0.0912
O9 0.3511 0.6489 0.5000
B3 0.5000 0.5000 0.5000
B4 0.5000 0.9427 0.0573
O10 0.3710 0.9708 0.2212
O11 0.0912 0.9088 0.5000
O12 0.6290 0.7788 0.0292

Entry 17:
Material: Pr2Fe6Co8B
Method: DFT, GGA-PBE
State: relaxed

Summary:
crystal system = tetragonal
uncorrected energy = -7.32 eV/atom
M_tot = 1.4092 μB per atom

abc: 8.7393 8.7393 11.8468
angles: 90.00 90.00 90.00
Fractional coordinates of all 68 atoms:
Fe1 0.5000 0.0000 0.0000
Co1 0.9005 0.9005 0.7912
Co2 0.0995 0.0995 0.7912
Fe2 0.7765 0.4331 0.8708
Co3 0.5995 0.4005 0.7088
Fe3 0.7235 0.9331 0.6292
Fe4 0.7765 0.4331 0.1292
Fe5 0.5000 0.5000 0.1166
Co4 0.4647 0.8594 0.3211
Fe6 0.4331 0.7765 0.1292
Fe7 0.4331 0.7765 0.8708
Fe8 0.0000 0.5000 0.5000
Co5 0.6406 0.9647 0.1789
Co6 0.5353 0.1406 0.3211
Fe9 0.0000 0.0000 0.3834
Co7 0.8594 0.4647 0.3211
Co8 0.1406 0.5353 0.6789
Pr1 0.6423 0.6423 0.5000
Co9 0.5995 0.4005 0.2912
Co10 0.4005 0.5995 0.2912
B1 0.6233 0.3767 0.0000
Fe10 0.0000 0.5000 0.0000
Co11 0.3175 0.3175 0.7515
Pr2 0.3577 0.3577 0.5000
B2 0.3767 0.6233 0.0000
Fe11 0.5000 0.5000 0.8834
Fe12 0.5000 0.0000 0.5000
Co12 0.0353 0.3594 0.8211
Co13 0.6825 0.6825 0.7515
Co14 0.6825 0.6825 0.2485
Fe13 0.0669 0.2765 0.3708
Pr3 0.8577 0.1423 0.0000
Pr4 0.2693 0.2693 0.0000
Co15 0.4647 0.8594 0.6789
B3 0.8767 0.8767 0.5000
Co16 0.1825 0.8175 0.2515
Pr5 0.2307 0.7693 0.5000
Co17 0.9647 0.6406 0.1789
Co18 0.0995 0.0995 0.2088
Co19 0.8175 0.1825 0.7485
Co20 0.6406 0.9647 0.8211
Fe14 0.0669 0.2765 0.6292
Fe15 0.2235 0.5669 0.1292
Pr6 0.7693 0.2307 0.5000
Co21 0.9005 0.9005 0.2088
Co22 0.5353 0.1406 0.6789
Co23 0.3594 0.0353 0.8211
Co24 0.4005 0.5995 0.7088
Pr7 0.1423 0.8577 0.0000
Co25 0.1406 0.5353 0.3211
Fe16 0.9331 0.7235 0.6292
Co26 0.8175 0.1825 0.2515
Co27 0.1825 0.8175 0.7485
Fe17 0.7235 0.9331 0.3708
Pr8 0.7307 0.7307 0.0000
Co28 0.3594 0.0353 0.1789
Fe18 0.2235 0.5669 0.8708
Fe19 0.2765 0.0669 0.3708
Co29 0.9647 0.6406 0.8211
Fe20 0.2765 0.0669 0.6292
Fe21 0.9331 0.7235 0.3708
Fe22 0.5669 0.2235 0.1292
Co30 0.8594 0.4647 0.6789
Fe23 0.0000 0.0000 0.6166
B4 0.1233 0.1233 0.5000
Co31 0.0353 0.3594 0.1789
Fe24 0.5669 0.2235 0.8708
Co32 0.3175 0.3175 0.2485

Entry 18:
Material: GdCuGeSe3
Method: DFT, GGA-PBE
State: relaxed

Summary:
crystal system = orthorhombic
polymorph energy (0 for the lowest one) = 0.010 eV/atom
M_tot = 0.0001 μB per atom

abc: 11.2701 4.1371 11.6437
angles: 90.00 90.00 90.00
Fractional coordinates of all 24 atoms:
Ge1 0.1599 0.0000 0.0131
Gd1 0.5157 0.0000 0.8175
Se1 0.2814 0.0000 0.6781
Ge2 0.6599 0.0000 0.4869
Se2 0.4526 0.0000 0.3734
Cu1 0.2493 0.5000 0.7894
Se3 0.2186 0.5000 0.1781
Se4 0.0474 0.5000 0.8734
Se5 0.3967 0.5000 0.9373
Se6 0.5474 0.5000 0.6266
Gd2 0.0157 0.0000 0.6825
Se7 0.8967 0.5000 0.5627
Se8 0.7814 0.0000 0.8219
Se9 0.9526 0.0000 0.1266
Se10 0.7186 0.5000 0.3219
Gd3 0.4843 0.5000 0.1825
Ge3 0.3401 0.5000 0.5131
Se11 0.1033 0.0000 0.4373
Cu2 0.2507 0.0000 0.2894
Cu3 0.7507 0.0000 0.2106
Gd4 0.9843 0.5000 0.3175
Ge4 0.8401 0.5000 0.9869
Cu4 0.7493 0.5000 0.7106
Se12 0.6033 0.0000 0.0627